A plane-wave DFT calculation with GGA+U was carried out for an optimized crystal structure of Tb2CrSiO6.

**V**: 12.42 Å³ per atom
**VASP energy**: -7.956 eV/atom
**Crystal system**: tetragonal
**Size of the total moment**: 4.00 μB per formula unit
**ρ**: 6605 kg/m³

Unit cell a=5.1322 b=5.1322 c=4.7144 alpha=90.00 beta=90.00 gamma=90.00
Space group P4mm (No. 99)
Unique sites:
Tb 0.0000 0.5000 0.0000 [2 per cell]
Cr 0.0000 0.0000 0.5801 [1 per cell]
Si 0.5000 0.5000 0.5868 [1 per cell]
O 0.0000 0.0000 0.1244 [1 per cell]
O 0.2711 0.2711 0.7015 [4 per cell]
O 0.5000 0.5000 0.2308 [1 per cell]